No. 1
VASP calculation (GGA-PBE) on a geometry-optimized SrMg2Rh structure.

Results
DFT formation energy   -24 kJ/mol of formula units
Space group   Imm2, No. 44
Theoretical density   4.04 Mg/m³

Cell lengths 5.196, 5.196, 5.196 Å; angles 124.29, 115.88, 90.00 degrees
Fractional positions:
Mg (0.721, 0.221, 0.500)
Sr (0.254, 0.754, 0.500)
Mg (0.955, 0.955, 0.000)
Rh (0.570, 0.570, 0.000)



No. 2
VASP calculation (GGA-PBE) on a geometry-optimized SrMg2Rh structure.

Results
DFT formation energy   1 kJ/mol of formula units
Space group   P4/mmm, No. 123
Theoretical density   4.27 Mg/m³

Cell lengths 4.326, 4.325, 4.965 Å; angles 90.00, 90.00, 90.00 degrees
Fractional positions:
Mg (0.500, 0.500, 0.000)
Mg (0.000, 0.000, 0.000)
Rh (0.500, 0.000, 0.500)
Sr (0.000, 0.500, 0.500)



No. 3
VASP calculation (GGA-PBE) on a geometry-optimized SrMgRh4 structure.

Results
DFT formation energy   -120 kJ/mol of formula units
Space group   F-43m, No. 216
Theoretical density   8.06 Mg/m³

Cell lengths 5.344, 5.344, 5.344 Å; angles 60.00, 60.00, 60.00 degrees
Fractional positions:
Sr (0.250, 0.250, 0.250)
Rh (0.626, 0.626, 0.123)
Rh (0.123, 0.626, 0.626)
Mg (0.000, 0.000, 0.000)
Rh (0.626, 0.123, 0.626)
Rh (0.626, 0.626, 0.626)



No. 4
VASP calculation (GGA-PBE) on a geometry-optimized Sr2MgRh structure.

Results
DFT formation energy   25 kJ/mol of formula units
Space group   R-3m, No. 166
Theoretical density   3.56 Mg/m³

Cell lengths 9.414, 9.414, 9.414 Å; angles 26.00, 26.00, 26.00 degrees
Fractional positions:
Rh (0.750, 0.750, 0.750)
Sr (0.477, 0.477, 0.477)
Sr (0.023, 0.023, 0.023)
Mg (0.250, 0.250, 0.250)



No. 5
VASP calculation (GGA-PBE) on a geometry-optimized Sr2MgRh structure.

Results
DFT formation energy   34 kJ/mol of formula units
Space group   F-43m, No. 216
Theoretical density   4.74 Mg/m³

Cell lengths 5.311, 5.311, 5.311 Å; angles 60.00, 60.00, 60.00 degrees
Fractional positions:
Sr (0.000, 0.000, 0.000)
Rh (0.750, 0.750, 0.750)
Sr (0.250, 0.250, 0.250)
Mg (0.500, 0.500, 0.500)



No. 6
VASP calculation (GGA-PBE) on a geometry-optimized SrMg2Rh structure.

Results
DFT formation energy   -72 kJ/mol of formula units
Space group   P4mm, No. 99
Theoretical density   4.16 Mg/m³

Cell lengths 3.518, 3.518, 7.718 Å; angles 90.00, 90.00, 90.00 degrees
Fractional positions:
Mg (0.500, 0.500, 0.295)
Sr (0.500, 0.500, 0.705)
Mg (0.000, 0.000, 0.065)
Rh (0.000, 0.000, 0.434)



No. 7
VASP calculation (GGA-PBE) on a geometry-optimized SrMg2Rh structure.

Results
DFT formation energy   -33 kJ/mol of formula units
Space group   I4/mmm, No. 139
Theoretical density   4.47 Mg/m³

Cell lengths 5.438, 5.438, 5.438 Å; angles 131.33, 131.33, 71.29 degrees
Fractional positions:
Mg (0.000, 0.000, 0.000)
Mg (0.500, 0.500, 0.000)
Rh (0.250, 0.750, 0.500)
Sr (0.750, 0.250, 0.500)



No. 8
VASP calculation (GGA-PBE) on a geometry-optimized Sr2Mg2Rh structure.

Results
Polymorph energy (0 for the lowest one)   0 meV per atom
DFT formation energy   4 kJ/mol of formula units
Space group   P4/mbm, No. 127
Theoretical density   3.77 Mg/m³

Cell lengths 7.224, 7.224, 5.519 Å; angles 90.00, 90.00, 90.00 degrees
Fractional positions:
Sr (0.318, 0.182, 0.500)
Mg (0.652, 0.152, 0.000)
Rh (0.000, 0.000, 0.000)
Rh (0.500, 0.500, 0.000)
Sr (0.182, 0.682, 0.500)
Mg (0.348, 0.848, 0.000)
Sr (0.682, 0.818, 0.500)
Sr (0.818, 0.318, 0.500)
Mg (0.152, 0.348, 0.000)
Mg (0.848, 0.652, 0.000)



No. 9
VASP calculation (GGA-PBE) on a geometry-optimized Sr2MgRh structure.

Results
DFT formation energy   -36 kJ/mol of formula units
Space group   P2/m, No. 10
Theoretical density   4.19 Mg/m³

Cell lengths 3.647, 3.752, 9.528 Å; angles 66.98, 90.00, 90.00 degrees
Fractional positions:
Mg (0.500, 0.250, 0.250)
Rh (0.500, 0.750, 0.750)
Sr (0.000, 0.449, 0.551)
Sr (0.000, 0.051, 0.949)



No. 10
VASP calculation (GGA-PBE) on a geometry-optimized Sr2MgRh structure.

Results
DFT formation energy   -67 kJ/mol of formula units
Space group   Pm, No. 6
Theoretical density   4.01 Mg/m³

Cell lengths 4.546, 4.656, 6.364 Å; angles 68.46, 90.00, 90.00 degrees
Fractional positions:
Sr (0.000, 0.984, 0.906)
Sr (0.500, 0.267, 0.342)
Rh (0.500, 0.570, 0.735)
Mg (0.000, 0.679, 0.518)



No. 11
VASP calculation (GGA-PBE) on a geometry-optimized SrMg3Rh structure.

Results
Polymorph energy (0 for the lowest one)   0 meV per atom
DFT formation energy   -127 kJ/mol of formula units
Space group   Pm-3m, No. 221
Theoretical density   3.34 Mg/m³

Cell lengths 5.078, 5.078, 5.078 Å; angles 90.00, 90.00, 90.00 degrees
Fractional positions:
Mg (0.000, 0.000, 0.500)
Rh (0.000, 0.000, 0.000)
Mg (0.500, 0.000, 0.000)
Sr (0.500, 0.500, 0.500)
Mg (0.000, 0.500, 0.000)



No. 12
VASP calculation (GGA-PBE) on a geometry-optimized Sr3MgRh3 structure.

Results
DFT formation energy   -214 kJ/mol of formula units
Space group   Cmcm, No. 63
Theoretical density   5.64 Mg/m³

Cell lengths 4.442, 6.009, 14.143 Å; angles 90.00, 90.00, 111.69 degrees
Fractional positions:
Rh (0.805, 0.610, 0.750)
Sr (0.216, 0.432, 0.892)
Sr (0.497, 0.994, 0.750)
Sr (0.503, 0.006, 0.250)
Mg (0.500, 0.000, 0.500)
Rh (0.072, 0.143, 0.089)
Rh (0.195, 0.390, 0.250)
Sr (0.784, 0.568, 0.108)
Sr (0.216, 0.432, 0.608)
Mg (0.500, 0.000, 0.000)
Rh (0.928, 0.857, 0.911)
Rh (0.928, 0.857, 0.589)
Rh (0.072, 0.143, 0.411)
Sr (0.784, 0.568, 0.392)